Record 1
DyTh2OsC4 | GGA-PBE | relaxed

a = 3.6312 Å, b = 6.3419 Å, c = 12.4607 Å
α = 90.00°, β = 90.00°, γ = 106.64°
Atoms (fractional coordinates):
Dy  0.1190  0.2381  0.7500
Dy  0.8810  0.7619  0.2500
Th  0.3662  0.7325  0.5383
Th  0.6338  0.2675  0.0383
Th  0.6338  0.2675  0.4617
Th  0.3662  0.7325  0.9617
Os  0.8477  0.6953  0.7500
Os  0.1523  0.3047  0.2500
C  0.2660  0.5320  0.1379
C  0.7340  0.4680  0.6379
C  0.7340  0.4680  0.8621
C  0.2660  0.5320  0.3621
C  0.0000  0.0000  0.5000
C  0.0000  0.0000  0.0000
C  0.4213  0.8426  0.7500
C  0.5787  0.1574  0.2500

Values from the calculation:
Energy relative to the elements: 0.3 eV/f.u.
Electronic total energy: -134.6 eV/cell
Crystal system: orthorhombic

Record 2
DyTh2OsC2 | GGA-PBE | relaxed

a = 3.7887 Å, b = 5.7899 Å, c = 11.1881 Å
α = 90.00°, β = 90.00°, γ = 90.00°
Atoms (fractional coordinates):
Dy  0.5000  0.5000  0.0000
Dy  0.0000  0.0000  0.5000
Th  0.5000  0.0410  0.2075
Th  0.0000  0.5410  0.2925
Th  0.5000  0.9590  0.7925
Th  0.0000  0.4590  0.7075
Os  0.0000  0.0000  0.0000
Os  0.5000  0.5000  0.5000
C  0.5000  0.7774  0.3875
C  0.5000  0.2226  0.6125
C  0.0000  0.7226  0.8875
C  0.0000  0.2774  0.1125

Values from the calculation:
Energy relative to the elements: -1.1 eV/f.u.
Electronic total energy: -100.5 eV/cell
Crystal system: orthorhombic

Record 3
Dy2YOsC2 | GGA-PBE | relaxed

a = 3.7178 Å, b = 5.5871 Å, c = 11.0128 Å
α = 90.00°, β = 90.00°, γ = 90.00°
Atoms (fractional coordinates):
Dy  0.5000  0.0446  0.2061
Dy  0.0000  0.5446  0.2939
Dy  0.5000  0.9554  0.7939
Dy  0.0000  0.4554  0.7061
Y  0.5000  0.5000  0.0000
Y  0.0000  0.0000  0.5000
Os  0.0000  0.0000  0.0000
Os  0.5000  0.5000  0.5000
C  0.5000  0.7695  0.3807
C  0.5000  0.2305  0.6193
C  0.0000  0.7305  0.8807
C  0.0000  0.2695  0.1193

Values from the calculation:
Energy relative to the elements: -1.3 eV/f.u.
Electronic total energy: -93.4 eV/cell
Crystal system: orthorhombic

Record 4
DyY2OsC2 | GGA-PBE | relaxed

a = 3.7205 Å, b = 5.5802 Å, c = 11.0427 Å
α = 90.00°, β = 90.00°, γ = 90.00°
Atoms (fractional coordinates):
Dy  0.5000  0.5000  0.0000
Dy  0.0000  0.0000  0.5000
Y  0.5000  0.0451  0.2072
Y  0.0000  0.5451  0.2928
Y  0.5000  0.9549  0.7928
Y  0.0000  0.4549  0.7072
Os  0.0000  0.0000  0.0000
Os  0.5000  0.5000  0.5000
C  0.5000  0.7697  0.3816
C  0.5000  0.2303  0.6184
C  0.0000  0.7303  0.8816
C  0.0000  0.2697  0.1184

Values from the calculation:
Energy relative to the elements: -1.3 eV/f.u.
Electronic total energy: -97.0 eV/cell
Crystal system: orthorhombic

Record 5
Dy2ZnOsC | GGA-PBE | relaxed

a = 3.8994 Å, b = 4.9581 Å, c = 4.9581 Å
α = 90.00°, β = 90.00°, γ = 90.00°
Atoms (fractional coordinates):
Dy  0.0000  0.0000  0.5000
Dy  0.0000  0.5000  0.0000
Zn  0.5000  0.5000  0.5000
Os  0.5000  0.0000  0.0000
C  0.0000  0.0000  0.0000

Values from the calculation:
Energy relative to the elements: -1.9 eV/f.u.
Electronic total energy: -32.9 eV/cell
Crystal system: tetragonal

Record 6
Dy12P3C5 | GGA-PBE | relaxed

a = 13.2029 Å, b = 13.2029 Å, c = 13.2029 Å
α = 109.47°, β = 109.47°, γ = 109.47°
Atoms (fractional coordinates):
P  0.7500  0.3750  0.1250
P  0.8750  0.7500  0.1250
P  0.3750  0.7500  0.6250
P  0.2500  0.1250  0.3750
P  0.8750  0.1250  0.2500
P  0.3750  0.6250  0.2500
P  0.6250  0.3750  0.7500
P  0.1250  0.8750  0.7500
P  0.7500  0.8750  0.6250
P  0.6250  0.2500  0.3750
P  0.1250  0.2500  0.8750
P  0.2500  0.6250  0.8750
C  0.1250  0.3750  0.2500
C  0.0000  0.5000  0.0000
C  0.0000  0.0000  0.0000
C  0.3750  0.2500  0.1250
C  0.5000  0.0000  0.5000
C  0.5000  0.5000  0.0000
C  0.1250  0.7500  0.3750
C  0.7500  0.1250  0.8750
C  0.7500  0.6250  0.3750
C  0.3750  0.1250  0.7500
C  0.6250  0.8750  0.2500
C  0.5000  0.5000  0.5000
C  0.5000  0.0000  0.0000
C  0.0000  0.0000  0.5000
C  0.2500  0.3750  0.6250
C  0.2500  0.8750  0.1250
C  0.0000  0.5000  0.5000
C  0.8750  0.2500  0.6250
C  0.6250  0.7500  0.8750
C  0.8750  0.6250  0.7500
Dy  0.7080  0.1215  0.0280
Dy  0.3200  0.5280  0.4064
Dy  0.9720  0.3785  0.2920
Dy  0.5280  0.2080  0.1215
Dy  0.5864  0.7080  0.6800
Dy  0.9720  0.5936  0.1800
Dy  0.3200  0.7920  0.4136
Dy  0.0936  0.9136  0.1215
Dy  0.5936  0.9720  0.6800
Dy  0.7080  0.5864  0.1800
Dy  0.7920  0.4720  0.3785
Dy  0.8200  0.9064  0.0280
Dy  0.1215  0.7080  0.5280
Dy  0.3785  0.4064  0.0864
Dy  0.0864  0.9064  0.3785
Dy  0.4136  0.1215  0.5936
Dy  0.0864  0.1800  0.2080
Dy  0.4720  0.6800  0.0936
Dy  0.8200  0.9136  0.2920
Dy  0.1215  0.4136  0.0936
Dy  0.3785  0.9720  0.7920
Dy  0.5936  0.6215  0.4136
Dy  0.9064  0.8200  0.5280
Dy  0.7920  0.3200  0.9136
Dy  0.4064  0.3785  0.5864
Dy  0.0936  0.1800  0.4720
Dy  0.2080  0.6800  0.0864
Dy  0.1800  0.0864  0.7080
Dy  0.6215  0.0280  0.2080
Dy  0.8785  0.5864  0.9064
Dy  0.5280  0.3200  0.9064
Dy  0.5864  0.8785  0.4064
Dy  0.9136  0.8200  0.7920
Dy  0.9136  0.0936  0.6215
Dy  0.8785  0.2920  0.4720
Dy  0.1800  0.0936  0.9720
Dy  0.6215  0.5936  0.9136
Dy  0.4064  0.0280  0.3200
Dy  0.2920  0.4136  0.8200
Dy  0.2080  0.5280  0.6215
Dy  0.9064  0.0864  0.8785
Dy  0.6800  0.2080  0.5864
Dy  0.4720  0.7920  0.8785
Dy  0.0280  0.4064  0.8200
Dy  0.4136  0.2920  0.3200
Dy  0.0280  0.6215  0.7080
Dy  0.6800  0.4720  0.5936
Dy  0.2920  0.8785  0.9720

Values from the calculation:
Energy relative to the elements: -10.1 eV/f.u.
Electronic total energy: -510.8 eV/cell
Crystal system: cubic